1.
A plane-wave DFT calculation with GGA+U was carried out for a geometry-optimized CrAuF2 structure.

Computed properties:
Calculated volume: 19.07 A^3/atom
Relative energy among the computed polymorphs: 0 meV per atom
DOS(E_F): 1.4 states/eV/f.u.

a = 9.1213 Å, b = 9.1213 Å, c = 9.1213 Å
α = 19.82°, β = 19.82°, γ = 19.82°
Closest atoms and distances in Å follow each position.
Sites, in units of the cell vectors:
F 0.8714 0.8714 0.8714  3 Cr 2.08
Au 0.0000 0.0000 0.0000  6 Au 3.14, 2 F 3.45
Cr 0.5000 0.5000 0.5000  6 F 2.08
F 0.1286 0.1286 0.1286  3 Cr 2.08


2.
A plane-wave DFT calculation with GGA+U was carried out for a geometry-optimized Cr3AuF structure.

Computed properties:
Calculated volume: 28.48 A^3/atom
Relative energy among the computed polymorphs: 641 meV per atom
DOS(E_F): 3.3 states/eV/f.u.

a = 5.2221 Å, b = 5.2221 Å, c = 5.2221 Å
α = 90.00°, β = 90.00°, γ = 90.00°
Closest atoms and distances in Å follow each position.
Sites, in units of the cell vectors:
F 0.5000 0.5000 0.5000  12 Cr 3.69
Cr 0.0000 0.0000 0.5000  2 Au 2.61
Cr 0.5000 0.0000 0.0000  2 Au 2.61
Au 0.0000 0.0000 0.0000  6 Cr 2.61
Cr 0.0000 0.5000 0.0000  2 Au 2.61


3.
A plane-wave DFT calculation with GGA+U was carried out for a geometry-optimized CrAuF2 structure.

Computed properties:
Calculated volume: 13.99 A^3/atom
Relative energy among the computed polymorphs: 650 meV per atom
DOS(E_F): 1.5 states/eV/f.u.

a = 4.2931 Å, b = 4.2931 Å, c = 4.2931 Å
α = 60.00°, β = 60.00°, γ = 60.00°
Closest atoms and distances in Å follow each position.
Sites, in units of the cell vectors:
F 0.7500 0.7500 0.7500  4 Cr 2.63, 4 Au 2.63
Cr 0.0000 0.0000 0.0000  8 F 2.63
F 0.2500 0.2500 0.2500  4 Au 2.63, 4 Cr 2.63
Au 0.5000 0.5000 0.5000  8 F 2.63


4.
A plane-wave DFT calculation with GGA+U was carried out for a geometry-optimized CrAu2F structure.

Computed properties:
Calculated volume: 16.49 A^3/atom
Relative energy among the computed polymorphs: 112 meV per atom
DOS(E_F): 1.3 states/eV/f.u.

a = 4.5349 Å, b = 4.5349 Å, c = 4.5349 Å
α = 60.00°, β = 60.00°, γ = 60.00°
Closest atoms and distances in Å follow each position.
Sites, in units of the cell vectors:
F 0.0000 0.0000 0.0000  8 Au 2.78
Cr 0.5000 0.5000 0.5000  8 Au 2.78
Au 0.7500 0.7500 0.7500  4 Cr 2.78, 4 F 2.78
Au 0.2500 0.2500 0.2500  4 Cr 2.78, 4 F 2.78